CsSi3Pt | GGA-PBE | optimized geometry

Unit cell a=5.3131 b=5.3131 c=5.3131 alpha=90.00 beta=90.00 gamma=90.00
With the nearest neighbours (Å) after each atom.
Sites, in units of the cell vectors:
Cs (0.0000, 0.0000, 0.0000)  6 Si 2.66
Si (0.0000, 0.0000, 0.5000)  2 Cs 2.66
Si (0.0000, 0.5000, 0.0000)  2 Cs 2.66
Si (0.5000, 0.0000, 0.0000)  2 Cs 2.66
Pt (0.5000, 0.5000, 0.5000)  12 Si 3.76

Results
ΔE_f (raw) ... 2.665 eV per atom
Crystal system ... cubic
Space group ... No. 221